This record from Alexandria via LeMat-Bulk describes a geometry-optimized CeCdSe2 structure. The functional is GGA-PBE.

Output
E	-18.0	eV/f.u.
symmetry	R-3m (166)
N(E_F)	1.36	states/eV/atom
formation energy without anion corrections	-406	kJ/mol of formula units
total magnetization	0.51	Bohr magnetons per cell

Cell: 9.2581 9.2581 9.2581 Å, 26.36 26.36 26.36°
Last column: nearest neighbours and their distance in Å.
Fractional coordinates of all 4 atoms:
Ce (0.0000, 0.0000, 0.0000)  6 Se 2.91
Cd (0.5000, 0.5000, 0.5000)  2 Se 2.88
Se (0.3924, 0.3924, 0.3924)  1 Cd 2.88, 3 Ce 2.91
Se (0.6076, 0.6076, 0.6076)  1 Cd 2.88, 3 Ce 2.91